VASP calculation (PBE-GGA) on an optimized crystal structure of EuGdNiPt.

a b c (Å): 4.9604 4.9604 4.9604
angles (deg): 60.00 60.00 60.00
With the nearest neighbours (Å) after each atom.
Element x y z (fractional)
Eu1 0.0000 0.0000 0.0000  4 Ni 3.04, 4 Pt 3.04
Gd1 0.5000 0.5000 0.5000  4 Ni 3.04, 4 Pt 3.04
Ni1 0.7500 0.7500 0.7500  4 Gd 3.04, 4 Eu 3.04
Pt1 0.2500 0.2500 0.2500  4 Gd 3.04, 4 Eu 3.04

Properties
Space group = No. 216
Electronic total energy = -0.70941 Ry/atom